Entry 1:
Material: Tb5Sm2Er12
Method: DFT, GGA-PBE
State: optimized geometry

## Properties
calculated total energy = -4.47 eV/atom
formation enthalpy at 0 K = 130 meV/atom
distance to the lowest polymorph of the same formula = 0.109 eV per atom
space group = C2/m, No. 12
magnetization = 0.0 μB/f.u.

```
data_Tb5Sm2Er12
_cell_length_a 9.200
_cell_length_b 12.264
_cell_length_c 8.487
_cell_angle_alpha 132.42
_cell_angle_beta 90.00
_cell_angle_gamma 112.03
_symmetry_space_group_name_H-M 'P 1'
_symmetry_Int_Tables_number 1
loop_
_symmetry_equiv_pos_as_xyz
'x,y,z'
loop_
_atom_site_label
_atom_site_fract_x
_atom_site_fract_y
_atom_site_fract_z
Er1 0.443 0.886 0.217
Er2 0.974 0.307 0.064
Er3 0.437 0.255 0.598
Er4 0.088 0.175 0.294
Er5 0.026 0.693 0.936
Er6 0.912 0.825 0.706
Er7 0.181 0.745 0.402
Er8 0.819 0.255 0.598
Er9 0.333 0.307 0.064
Er10 0.557 0.114 0.783
Er11 0.667 0.693 0.936
Er12 0.563 0.745 0.402
Sm1 0.680 0.000 0.000
Sm2 0.320 0.000 0.000
Tb1 0.769 0.537 0.112
Tb2 0.700 0.400 0.389
Tb3 0.000 0.000 0.500
Tb4 0.231 0.463 0.888
Tb5 0.300 0.600 0.611
```

---

Entry 2:
Material: Cs2Al2Ag
Method: DFT, GGA-PBE
State: optimized geometry

## Properties
calculated total energy = -2.08 eV/atom
formation enthalpy at 0 K = 325 meV/atom
distance to the lowest polymorph of the same formula = 0.057 eV per atom
space group = P4/mbm, No. 127
magnetization = 0.0 μB/f.u.

```
data_Cs2Al2Ag
_cell_length_a 7.250
_cell_length_b 7.250
_cell_length_c 6.466
_cell_angle_alpha 90.00
_cell_angle_beta 90.00
_cell_angle_gamma 90.00
_symmetry_space_group_name_H-M 'P 1'
_symmetry_Int_Tables_number 1
loop_
_symmetry_equiv_pos_as_xyz
'x,y,z'
loop_
_atom_site_label
_atom_site_fract_x
_atom_site_fract_y
_atom_site_fract_z
Ag1 0.500 0.500 0.000
Ag2 0.000 0.000 0.000
Cs1 0.812 0.312 0.500
Cs2 0.188 0.688 0.500
Cs3 0.312 0.188 0.500
Cs4 0.688 0.812 0.500
Al1 0.871 0.629 0.000
Al2 0.371 0.871 0.000
Al3 0.629 0.129 0.000
Al4 0.129 0.371 0.000
```

---

Entry 3:
Material: Ho8Si3HgTe4
Method: DFT, GGA-PBE
State: optimized geometry

## Properties
calculated total energy = -5.11 eV/atom
raw formation energy = -16.05 eV/f.u.
space group = R-3m, No. 166
magnetization = 0.0 μB/f.u.

```
data_Ho8Si3HgTe4
_cell_length_a 8.440
_cell_length_b 8.600
_cell_length_c 8.440
_cell_angle_alpha 119.39
_cell_angle_beta 120.00
_cell_angle_gamma 90.00
_symmetry_space_group_name_H-M 'P 1'
_symmetry_Int_Tables_number 1
loop_
_symmetry_equiv_pos_as_xyz
'x,y,z'
loop_
_atom_site_label
_atom_site_fract_x
_atom_site_fract_y
_atom_site_fract_z
Si1 0.500 0.500 0.500
Si2 0.000 0.500 0.500
Si3 0.500 0.500 0.000
Hg1 0.000 0.500 0.000
Te1 0.500 0.000 0.500
Te2 0.000 0.000 0.000
Te3 0.000 0.000 0.500
Te4 0.500 0.000 0.000
Ho1 0.751 0.273 0.502
Ho2 0.728 0.727 0.978
Ho3 0.738 0.715 0.477
Ho4 0.262 0.285 0.523
Ho5 0.249 0.727 0.498
Ho6 0.751 0.273 0.022
Ho7 0.249 0.727 0.978
Ho8 0.272 0.273 0.022
```

---

Entry 4:
Material: TlBiPbF6
Method: DFT, GGA-PBE
State: optimized geometry

## Properties
calculated total energy = -4.60 eV/atom
raw formation energy = -20.26 eV/f.u.
space group = P-31c, No. 163
magnetization = 0.0 μB/f.u.

```
data_TlBiPbF6
_cell_length_a 6.595
_cell_length_b 6.595
_cell_length_c 10.574
_cell_angle_alpha 90.00
_cell_angle_beta 90.00
_cell_angle_gamma 120.00
_symmetry_space_group_name_H-M 'P 1'
_symmetry_Int_Tables_number 1
loop_
_symmetry_equiv_pos_as_xyz
'x,y,z'
loop_
_atom_site_label
_atom_site_fract_x
_atom_site_fract_y
_atom_site_fract_z
Bi1 0.333 0.667 0.750
Bi2 0.667 0.333 0.250
F1 0.381 0.358 0.361
F2 0.642 0.619 0.139
F3 0.619 0.642 0.639
F4 0.358 0.977 0.639
F5 0.381 0.023 0.139
F6 0.642 0.023 0.361
F7 0.358 0.381 0.861
F8 0.977 0.358 0.139
F9 0.619 0.977 0.861
F10 0.023 0.642 0.861
F11 0.023 0.381 0.639
F12 0.977 0.619 0.361
Pb1 0.333 0.667 0.250
Pb2 0.667 0.333 0.750
Tl1 0.000 0.000 0.000
Tl2 0.000 0.000 0.500
```

---

Entry 5:
Material: NaZr2GaAs
Method: DFT, GGA-PBE
State: optimized geometry

## Properties
calculated total energy = -4.09 eV/atom
formation enthalpy at 0 K = 1126 meV/atom
space group = P4/mmm, No. 123
magnetization = 0.0 μB/f.u.

```
data_NaZr2GaAs
_cell_length_a 5.039
_cell_length_b 4.575
_cell_length_c 5.039
_cell_angle_alpha 90.00
_cell_angle_beta 90.00
_cell_angle_gamma 90.00
_symmetry_space_group_name_H-M 'P 1'
_symmetry_Int_Tables_number 1
loop_
_symmetry_equiv_pos_as_xyz
'x,y,z'
loop_
_atom_site_label
_atom_site_fract_x
_atom_site_fract_y
_atom_site_fract_z
Ga1 0.000 0.500 0.000
Zr1 0.000 0.000 0.500
Zr2 0.500 0.000 0.000
As1 0.500 0.500 0.500
Na1 0.000 0.000 0.000
```

---

Entry 6:
Material: NaHfTe2N
Method: DFT, GGA-PBE
State: optimized geometry

## Properties
calculated total energy = -5.52 eV/atom
raw formation energy = -1.73 eV/f.u.
distance to the lowest polymorph of the same formula = 0.000 eV per atom
space group = P4/mmm, No. 123
magnetization = 0.0 μB/f.u.

```
data_NaHfTe2N
_cell_length_a 5.897
_cell_length_b 5.897
_cell_length_c 3.964
_cell_angle_alpha 90.00
_cell_angle_beta 90.00
_cell_angle_gamma 90.00
_symmetry_space_group_name_H-M 'P 1'
_symmetry_Int_Tables_number 1
loop_
_symmetry_equiv_pos_as_xyz
'x,y,z'
loop_
_atom_site_label
_atom_site_fract_x
_atom_site_fract_y
_atom_site_fract_z
N1 0.000 0.000 0.500
Hf1 0.000 0.000 0.000
Na1 0.500 0.500 0.500
Te1 0.000 0.500 0.000
Te2 0.500 0.000 0.000
```

---

Entry 7:
Material: PrZn4Au4
Method: DFT, GGA-PBE
State: optimized geometry

## Properties
calculated total energy = -2.92 eV/atom
formation enthalpy at 0 K = -363 meV/atom
space group = P4_2/nmc, No. 137
magnetization = 0.0 μB/f.u.

```
data_PrZn4Au4
_cell_length_a 6.051
_cell_length_b 6.051
_cell_length_c 9.317
_cell_angle_alpha 90.00
_cell_angle_beta 90.00
_cell_angle_gamma 90.00
_symmetry_space_group_name_H-M 'P 1'
_symmetry_Int_Tables_number 1
loop_
_symmetry_equiv_pos_as_xyz
'x,y,z'
loop_
_atom_site_label
_atom_site_fract_x
_atom_site_fract_y
_atom_site_fract_z
Pr1 0.000 0.000 0.000
Pr2 0.500 0.500 0.500
Zn1 0.783 0.500 0.921
Zn2 0.283 0.000 0.579
Zn3 0.500 0.783 0.079
Zn4 0.500 0.217 0.079
Zn5 0.717 0.000 0.579
Zn6 0.217 0.500 0.921
Zn7 0.000 0.283 0.421
Zn8 0.000 0.717 0.421
Au1 0.000 0.732 0.708
Au2 0.768 0.500 0.208
Au3 0.000 0.268 0.708
Au4 0.500 0.768 0.792
Au5 0.232 0.500 0.208
Au6 0.500 0.232 0.792
Au7 0.268 0.000 0.292
Au8 0.732 0.000 0.292
```

---

Entry 8:
Material: Nd2DyYAs4
Method: DFT, GGA-PBE
State: optimized geometry

## Properties
calculated total energy = -6.42 eV/atom
formation enthalpy at 0 K = -1525 meV/atom
space group = P2/m, No. 10
magnetization = 0.0 μB/f.u.

```
data_Nd2DyYAs4
_cell_length_a 4.200
_cell_length_b 7.267
_cell_length_c 7.271
_cell_angle_alpha 70.53
_cell_angle_beta 90.00
_cell_angle_gamma 90.00
_symmetry_space_group_name_H-M 'P 1'
_symmetry_Int_Tables_number 1
loop_
_symmetry_equiv_pos_as_xyz
'x,y,z'
loop_
_atom_site_label
_atom_site_fract_x
_atom_site_fract_y
_atom_site_fract_z
As1 0.000 0.259 0.247
As2 0.000 0.741 0.753
As3 0.500 0.259 0.747
As4 0.500 0.741 0.253
Dy1 0.000 0.500 0.500
Nd1 0.500 0.000 0.500
Nd2 0.000 0.000 0.000
Y1 0.500 0.500 0.000
```

---

Entry 9:
Material: TlTe2Au
Method: DFT, GGA-PBE
State: optimized geometry

## Properties
calculated total energy = -3.00 eV/atom
raw formation energy = -0.09 eV/f.u.
space group = P4/mmm, No. 123
magnetization = 0.0 μB/f.u.

```
data_TlTe2Au
_cell_length_a 4.340
_cell_length_b 4.340
_cell_length_c 5.988
_cell_angle_alpha 90.00
_cell_angle_beta 90.00
_cell_angle_gamma 90.00
_symmetry_space_group_name_H-M 'P 1'
_symmetry_Int_Tables_number 1
loop_
_symmetry_equiv_pos_as_xyz
'x,y,z'
loop_
_atom_site_label
_atom_site_fract_x
_atom_site_fract_y
_atom_site_fract_z
Au1 0.500 0.500 0.875
Tl1 0.000 0.000 0.375
Te1 0.500 0.500 0.375
Te2 0.000 0.000 0.875
```

---

Entry 10:
Material: Mn2C
Method: DFT, GGA-PBE
State: optimized geometry

## Properties
calculated total energy = -9.01 eV/atom
formation enthalpy at 0 K = 180 meV/atom
space group = I4/mcm, No. 140
magnetization = 0.7 μB/f.u.

```
data_Mn2C
_cell_length_a 4.066
_cell_length_b 4.066
_cell_length_c 4.066
_cell_angle_alpha 108.03
_cell_angle_beta 108.03
_cell_angle_gamma 112.39
_symmetry_space_group_name_H-M 'P 1'
_symmetry_Int_Tables_number 1
loop_
_symmetry_equiv_pos_as_xyz
'x,y,z'
loop_
_atom_site_label
_atom_site_fract_x
_atom_site_fract_y
_atom_site_fract_z
C1 0.750 0.750 0.000
C2 0.250 0.250 0.000
Mn1 0.176 0.676 0.852
Mn2 0.324 0.176 0.500
Mn3 0.676 0.824 0.500
Mn4 0.824 0.324 0.148
```

---

Entry 11:
Material: BaMg3I
Method: DFT, GGA-PBE
State: optimized geometry

## Properties
calculated total energy = -1.02 eV/atom
raw formation energy = 3.13 eV/f.u.
distance to the lowest polymorph of the same formula = 0.349 eV per atom
space group = Pm-3m, No. 221
magnetization = 0.0 μB/f.u.

```
data_BaMg3I
_cell_length_a 7.129
_cell_length_b 7.129
_cell_length_c 7.129
_cell_angle_alpha 90.00
_cell_angle_beta 90.00
_cell_angle_gamma 90.00
_symmetry_space_group_name_H-M 'P 1'
_symmetry_Int_Tables_number 1
loop_
_symmetry_equiv_pos_as_xyz
'x,y,z'
loop_
_atom_site_label
_atom_site_fract_x
_atom_site_fract_y
_atom_site_fract_z
Mg1 0.000 0.000 0.500
Mg2 0.500 0.000 0.000
Mg3 0.000 0.500 0.000
Ba1 0.000 0.000 0.000
I1 0.500 0.500 0.500
```

---

Entry 12:
Material: Sr2InHg10
Method: DFT, GGA-PBE
State: optimized geometry

## Properties
calculated total energy = -0.81 eV/atom
formation enthalpy at 0 K = -104 meV/atom
space group = Pbam, No. 55
magnetization = 0.0 μB/f.u.

```
data_Sr2InHg10
_cell_length_a 5.881
_cell_length_b 13.620
_cell_length_c 11.083
_cell_angle_alpha 90.00
_cell_angle_beta 90.00
_cell_angle_gamma 90.00
_symmetry_space_group_name_H-M 'P 1'
_symmetry_Int_Tables_number 1
loop_
_symmetry_equiv_pos_as_xyz
'x,y,z'
loop_
_atom_site_label
_atom_site_fract_x
_atom_site_fract_y
_atom_site_fract_z
Hg1 0.257 0.812 0.926
Hg2 0.743 0.688 0.426
Hg3 0.257 0.312 0.574
Hg4 0.000 0.114 0.512
Hg5 0.743 0.812 0.926
Hg6 0.000 0.886 0.488
Hg7 0.000 0.015 0.266
Hg8 0.257 0.188 0.074
Hg9 0.743 0.312 0.574
Hg10 0.000 0.515 0.234
Hg11 0.000 0.797 0.198
Hg12 0.000 0.614 0.988
Hg13 0.257 0.688 0.426
Hg14 0.000 0.386 0.012
Hg15 0.000 0.485 0.766
Hg16 0.000 0.985 0.734
Hg17 0.743 0.188 0.074
Hg18 0.000 0.203 0.802
Hg19 0.000 0.703 0.698
Hg20 0.000 0.297 0.302
Sr1 0.500 0.847 0.646
Sr2 0.500 0.153 0.354
Sr3 0.500 0.653 0.146
Sr4 0.500 0.347 0.854
In1 0.000 0.500 0.500
In2 0.000 0.000 0.000
```